No. 1
Entry from Alexandria: a geometry-optimized CdFePd2 structure (PBE).

Geometry as POSCAR:
```
CdFePd2
1.0
3.930 0.000 0.000
0.000 3.930 0.000
1.965 1.965 9.053
Pd Fe Cd
4 2 2
direct
0.375 0.388 0.750 Pd
0.138 0.625 0.250 Pd
0.875 0.862 0.750 Pd
0.612 0.125 0.250 Pd
0.500 0.500 0.000 Fe
0.250 0.750 0.500 Fe
0.750 0.250 0.500 Cd
0.000 0.000 0.000 Cd
```

=====

No. 2
Entry from Alexandria: a geometry-optimized Cd2FePd2 structure (PBE).

Properties
**Energy relative to the lowest polymorph listed for this composition**: 0.000 eV per atom

Geometry as POSCAR:
```
Cd2FePd2
1.0
6.597 0.000 0.000
0.000 6.597 0.000
0.000 0.000 4.135
Fe Pd Cd
2 4 4
direct
0.000 0.000 0.000 Fe
0.500 0.500 0.000 Fe
0.357 0.857 0.000 Pd
0.143 0.357 0.000 Pd
0.643 0.143 0.000 Pd
0.857 0.643 0.000 Pd
0.836 0.336 0.500 Cd
0.664 0.836 0.500 Cd
0.336 0.164 0.500 Cd
0.164 0.664 0.500 Cd
```

=====

No. 3
Entry from Alexandria: a geometry-optimized Sc2CdFePd structure (PBE).

Geometry as POSCAR:
```
Sc2CdFePd
1.0
-0.256 2.841 4.294
-4.159 1.473 -1.222
-2.140 -3.969 2.499
Sc Fe Cd Pd
2 1 1 1
direct
0.500 0.000 0.000 Sc
0.000 0.000 0.500 Sc
0.000 0.500 0.000 Fe
0.000 0.000 0.000 Cd
0.500 0.500 0.500 Pd
```

=====

No. 4
Entry from Alexandria: a geometry-optimized SrCdFePd2 structure (PBE).

Geometry as POSCAR:
```
SrCdFePd2
1.0
4.843 0.000 0.000
0.000 4.964 0.000
0.000 0.000 4.843
Pd Fe Sr Cd
2 1 1 1
direct
0.500 0.000 0.000 Pd
0.000 0.000 0.500 Pd
0.000 0.000 0.000 Fe
0.500 0.500 0.500 Sr
0.000 0.500 0.000 Cd
```

=====

No. 5
Entry from Alexandria: a geometry-optimized Pm2CdFe structure (PBE).

Geometry as POSCAR:
```
Pm2CdFe
1.0
-2.115 2.699 0.865
-0.301 -1.287 3.280
6.285 4.210 2.230
Pm Cd Fe
2 1 1
direct
0.000 0.000 0.787 Pm
0.000 0.000 0.213 Pm
0.500 0.500 0.500 Cd
0.500 0.500 0.000 Fe
```

=====

No. 6
Entry from Alexandria: a geometry-optimized Pm6CdFe2 structure (PBE).

Geometry as POSCAR:
```
Pm6CdFe2
1.0
7.979 0.594 -3.251
-4.457 7.110 -2.042
0.083 -0.594 8.616
Pm Fe Cd
12 4 2
direct
0.214 0.438 0.224 Pm
0.705 0.688 0.393 Pm
0.705 0.312 0.017 Pm
0.295 0.312 0.607 Pm
0.786 0.562 0.776 Pm
0.523 0.813 0.709 Pm
0.477 0.187 0.291 Pm
0.295 0.688 0.983 Pm
0.786 0.009 0.224 Pm
0.896 0.187 0.709 Pm
0.214 0.991 0.776 Pm
0.104 0.813 0.291 Pm
0.500 0.893 0.393 Fe
0.611 0.611 0.000 Fe
0.389 0.389 0.000 Fe
0.500 0.107 0.607 Fe
0.000 0.000 0.000 Cd
0.000 0.500 0.500 Cd
```

=====

No. 7
Entry from Alexandria: a geometry-optimized Pm3CdFe structure (PBE).

Geometry as POSCAR:
```
Pm3CdFe
1.0
5.241 0.000 0.000
0.000 5.241 0.000
0.000 0.000 5.241
Pm Fe Cd
3 1 1
direct
0.000 0.500 0.000 Pm
0.000 0.000 0.500 Pm
0.500 0.000 0.000 Pm
0.000 0.000 0.000 Fe
0.500 0.500 0.500 Cd
```

=====

No. 8
Entry from Alexandria: a geometry-optimized PmCdFe4 structure (PBE).

Geometry as POSCAR:
```
PmCdFe4
1.0
-2.554 -2.858 -3.406
-3.181 -3.682 1.616
-5.067 0.571 -0.539
Fe Cd Pm
4 1 1
direct
0.625 0.125 0.625 Fe
0.125 0.625 0.625 Fe
0.625 0.625 0.625 Fe
0.625 0.625 0.125 Fe
0.000 0.000 0.000 Cd
0.250 0.250 0.250 Pm
```

=====

No. 9
Entry from Alexandria: a geometry-optimized Pm4Cd2Fe structure (PBE).

Geometry as POSCAR:
```
Pm4Cd2Fe
1.0
5.116 0.000 0.000
0.000 5.116 0.000
-2.558 -2.558 8.047
Cd Pm Fe
2 4 1
direct
0.367 0.367 0.734 Cd
0.633 0.633 0.266 Cd
0.000 0.500 0.000 Pm
0.500 0.000 0.000 Pm
0.827 0.827 0.655 Pm
0.173 0.173 0.345 Pm
0.000 0.000 0.000 Fe
```

=====

No. 10
Entry from Alexandria: a geometry-optimized PmCdFe structure (PBE).

Geometry as POSCAR:
```
PmCdFe
1.0
3.886 0.000 0.000
0.000 5.185 -0.187
-1.943 -1.338 6.583
Cd Pm Fe
2 2 2
direct
0.573 0.785 0.147 Cd
0.427 0.215 0.853 Cd
0.134 0.325 0.269 Pm
0.866 0.675 0.731 Pm
0.768 0.090 0.537 Fe
0.232 0.910 0.463 Fe
```

=====

No. 11
Entry from Alexandria: a geometry-optimized Pr2CdFe structure (PBE).

Geometry as POSCAR:
```
Pr2CdFe
1.0
3.600 0.000 0.000
0.000 3.600 0.000
0.000 0.000 7.978
Pr Fe Cd
2 1 1
direct
0.000 0.000 0.785 Pr
0.000 0.000 0.215 Pr
0.500 0.500 0.000 Fe
0.500 0.500 0.500 Cd
```

=====

No. 12
Entry from Alexandria: a geometry-optimized Pr6CdFe13 structure (PBE).

Geometry as POSCAR:
```
Pr6CdFe13
1.0
-2.467 0.793 7.644
4.451 -6.398 2.100
8.190 9.921 -2.646
Fe Pr Cd
26 12 2
direct
0.263 0.121 0.885 Fe
0.710 0.566 0.000 Fe
0.210 0.934 0.000 Fe
0.434 0.710 0.000 Fe
0.206 0.479 0.185 Fe
0.737 0.879 0.115 Fe
0.479 0.979 0.185 Fe
0.294 0.794 0.815 Fe
0.934 0.790 0.000 Fe
0.566 0.290 0.000 Fe
0.290 0.434 0.000 Fe
0.021 0.294 0.815 Fe
0.237 0.737 0.115 Fe
0.763 0.263 0.885 Fe
0.121 0.621 0.885 Fe
0.621 0.763 0.885 Fe
0.066 0.210 0.000 Fe
0.379 0.237 0.115 Fe
0.521 0.021 0.815 Fe
0.500 0.000 0.000 Fe
0.706 0.206 0.185 Fe
0.794 0.521 0.815 Fe
0.790 0.066 0.000 Fe
0.979 0.706 0.185 Fe
0.879 0.379 0.115 Fe
0.000 0.500 0.000 Fe
0.980 0.480 0.633 Pr
0.604 0.604 0.208 Pr
0.847 0.020 0.367 Pr
0.153 0.980 0.633 Pr
0.896 0.896 0.792 Pr
0.520 0.347 0.367 Pr
0.480 0.653 0.633 Pr
0.653 0.153 0.633 Pr
0.347 0.847 0.367 Pr
0.104 0.104 0.208 Pr
0.020 0.520 0.367 Pr
0.396 0.396 0.792 Pr
0.250 0.250 0.500 Cd
0.750 0.750 0.500 Cd
```

=====

no.,ΔE_f (eV/atom)
1,0.286
2,-0.034
3,0.922
4,0.089
5,-0.037
6,-0.037
7,0.045
8,0.063
9,0.022
10,-0.038
11,0.003
12,-0.012